Compound: K6MoF12
Source: the Alexandria database
Functional: GGA+U
Structure: relaxed

DOS at the Fermi energy = 0.8419 states/eV per atom
Raw total energy = -4.43 eV/atom
SG = R-3

Geometry as extended XYZ:
```
19
Lattice="5.788 3.342 3.578 -5.788 3.342 3.578 0.000 -6.683 3.578" Properties=species:S:1:pos:R:3 pbc="T T T"
K -3.214 -3.043 5.655
K -4.242 1.262 5.079
K 1.028 -4.304 5.079
K -1.028 4.304 5.655
K 4.242 -1.262 5.655
K 3.214 3.043 5.079
Mo 0.000 0.000 5.367
F -1.472 -4.649 4.697
F -4.762 -1.050 6.038
F -1.586 -0.280 4.303
F -3.290 3.599 4.697
F 1.036 -1.234 4.303
F -0.551 -1.514 6.432
F 0.551 1.514 4.303
F -1.036 1.234 6.432
F 3.290 -3.599 6.038
F 1.586 0.280 6.432
F 4.762 1.050 4.697
F 1.472 4.649 6.038
```